CaHfGa3: relaxed, PBE.

a = 5.1691 Å, b = 5.1691 Å, c = 5.1691 Å
α = 90.00°, β = 90.00°, γ = 90.00°
Fractional coordinates of all 5 atoms:
Hf1 0.0000 0.0000 0.0000
Ga1 0.0000 0.5000 0.0000
Ga2 0.5000 0.0000 0.0000
Ca1 0.5000 0.5000 0.5000
Ga3 0.0000 0.0000 0.5000

Values from the calculation:
Energy relative to the lowest polymorph listed for this composition   0 meV/atom
Formation energy from the elements   0.09 eV per atom
Space-group type   Pm-3m
Calculated volume   27.62 Å³/atom
D(E_F)   1.174 states/eV/atom



CaHfGa2: relaxed, PBE.

a = 4.8987 Å, b = 4.8987 Å, c = 4.8987 Å
α = 60.00°, β = 60.00°, γ = 60.00°
Fractional coordinates of all 4 atoms:
Hf1 0.5000 0.5000 0.5000
Ca1 0.0000 0.0000 0.0000
Ga1 0.7500 0.7500 0.7500
Ga2 0.2500 0.2500 0.2500

Values from the calculation:
Energy relative to the lowest polymorph listed for this composition   141 meV/atom
Formation energy from the elements   -0.23 eV per atom
Space-group type   Fm-3m
Calculated volume   20.78 Å³/atom
D(E_F)   0.726 states/eV/atom



CaHf2Ga2: relaxed, PBE.

a = 8.2813 Å, b = 8.2813 Å, c = 3.1463 Å
α = 90.00°, β = 90.00°, γ = 90.00°
Fractional coordinates of all 10 atoms:
Hf1 0.3689 0.1311 0.5000
Ga1 0.8344 0.6656 0.0000
Ca1 0.5000 0.5000 0.0000
Ga2 0.1656 0.3344 0.0000
Ga3 0.3344 0.8344 0.0000
Ca2 0.0000 0.0000 0.0000
Hf2 0.8689 0.3689 0.5000
Ga4 0.6656 0.1656 0.0000
Hf3 0.1311 0.6311 0.5000
Hf4 0.6311 0.8689 0.5000

Values from the calculation:
Energy relative to the lowest polymorph listed for this composition   0 meV/atom
Formation energy from the elements   -0.26 eV per atom
Space-group type   P4/mbm
Calculated volume   21.58 Å³/atom
D(E_F)   0.438 states/eV/atom



CaHfGa2: relaxed, PBE.

a = 4.5081 Å, b = 4.5081 Å, c = 5.9959 Å
α = 67.92°, β = 67.92°, γ = 60.00°
Fractional coordinates of all 4 atoms:
Ga1 0.2727 0.2727 0.1818
Ga2 0.7273 0.7273 0.8182
Ca1 0.5000 0.5000 0.5000
Hf1 0.0000 0.0000 0.0000

Values from the calculation:
Energy relative to the lowest polymorph listed for this composition   208 meV/atom
Formation energy from the elements   -0.16 eV per atom
Space-group type   R-3m
Calculated volume   23.77 Å³/atom
D(E_F)   0.940 states/eV/atom



CaHfGa3: relaxed, PBE.

a = 5.0640 Å, b = 5.0640 Å, c = 5.0640 Å
α = 90.00°, β = 90.00°, γ = 90.00°
Fractional coordinates of all 5 atoms:
Hf1 0.5000 0.5000 0.5000
Ga1 0.0000 0.5000 0.0000
Ga2 0.0000 0.0000 0.5000
Ga3 0.5000 0.0000 0.0000
Ca1 0.0000 0.0000 0.0000

Values from the calculation:
Energy relative to the lowest polymorph listed for this composition   943 meV/atom
Formation energy from the elements   1.03 eV per atom
Space-group type   Pm-3m
Calculated volume   25.97 Å³/atom
D(E_F)   0.687 states/eV/atom



CaHf2Ga2: relaxed, PBE.

a = 5.0030 Å, b = 5.0030 Å, c = 6.1897 Å
α = 66.16°, β = 66.16°, γ = 90.00°
Fractional coordinates of all 5 atoms:
Ga1 0.7500 0.2500 0.5000
Hf1 0.6585 0.6585 0.6830
Ga2 0.2500 0.7500 0.5000
Hf2 0.3415 0.3415 0.3170
Ca1 0.0000 0.0000 0.0000

Values from the calculation:
Energy relative to the lowest polymorph listed for this composition   331 meV/atom
Formation energy from the elements   0.07 eV per atom
Space-group type   I4/mmm
Calculated volume   25.43 Å³/atom
D(E_F)   0.470 states/eV/atom



CaHfGa2: relaxed, PBE.

a = 3.1548 Å, b = 3.1548 Å, c = 8.3323 Å
α = 90.00°, β = 90.00°, γ = 90.00°
Fractional coordinates of all 4 atoms:
Ca1 0.5000 0.5000 0.5000
Ga1 0.0000 0.0000 0.7685
Hf1 0.5000 0.5000 0.0000
Ga2 0.0000 0.0000 0.2315

Values from the calculation:
Energy relative to the lowest polymorph listed for this composition   0 meV/atom
Formation energy from the elements   -0.37 eV per atom
Space-group type   P4/mmm
Calculated volume   20.73 Å³/atom
D(E_F)   0.680 states/eV/atom



CaHfGa2: relaxed, PBE.

a = 4.8221 Å, b = 4.8221 Å, c = 9.9352 Å
α = 75.96°, β = 75.96°, γ = 90.00°
Fractional coordinates of all 8 atoms:
Ga1 0.0282 0.6250 0.2500
Ga2 0.7218 0.1250 0.2500
Ca1 0.2500 0.7500 0.5000
Hf1 0.0000 0.0000 0.0000
Ga3 0.8750 0.9718 0.7500
Hf2 0.7500 0.2500 0.5000
Ca2 0.5000 0.5000 0.0000
Ga4 0.3750 0.2782 0.7500

Values from the calculation:
Energy relative to the lowest polymorph listed for this composition   609 meV/atom
Formation energy from the elements   0.24 eV per atom
Space-group type   I-42d
Calculated volume   27.12 Å³/atom
D(E_F)   0.140 states/eV/atom



LiCaHf2Ga: relaxed, PBE.

a = 5.0791 Å, b = 5.6282 Å, c = 5.0791 Å
α = 90.00°, β = 90.00°, γ = 90.00°
Fractional coordinates of all 5 atoms:
Ga1 0.0000 0.0000 0.0000
Hf1 0.0000 0.0000 0.5000
Ca1 0.0000 0.5000 0.0000
Hf2 0.5000 0.0000 0.0000
Li1 0.5000 0.5000 0.5000

Values from the calculation:
Formation energy from the elements   0.60 eV per atom
Space-group type   P4/mmm
Calculated volume   29.04 Å³/atom
D(E_F)   1.777 states/eV/atom



Li2CaHfGa: relaxed, PBE.

a = 4.4206 Å, b = 5.2728 Å, c = 4.4206 Å
α = 90.00°, β = 90.00°, γ = 90.00°
Fractional coordinates of all 5 atoms:
Ga1 0.0000 0.5000 0.0000
Ca1 0.0000 0.0000 0.0000
Li1 0.0000 0.0000 0.5000
Li2 0.5000 0.0000 0.0000
Hf1 0.5000 0.5000 0.5000

Values from the calculation:
Formation energy from the elements   0.88 eV per atom
Space-group type   P4/mmm
Calculated volume   20.61 Å³/atom
D(E_F)   0.639 states/eV/atom



CaHfMgGa2: relaxed, PBE.

a = 5.2512 Å, b = 5.6331 Å, c = 5.2512 Å
α = 90.00°, β = 90.00°, γ = 90.00°
Fractional coordinates of all 5 atoms:
Mg1 0.5000 0.5000 0.5000
Hf1 0.0000 0.0000 0.0000
Ca1 0.0000 0.5000 0.0000
Ga1 0.5000 0.0000 0.0000
Ga2 0.0000 0.0000 0.5000

Values from the calculation:
Formation energy from the elements   0.66 eV per atom
Space-group type   P4/mmm
Calculated volume   31.07 Å³/atom
D(E_F)   0.863 states/eV/atom



CaHfGaN3: relaxed, PBE.

a = 3.2113 Å, b = 6.6067 Å, c = 8.5686 Å
α = 96.10°, β = 90.00°, γ = 90.00°
Fractional coordinates of all 12 atoms:
Ga1 0.7500 0.8594 0.4148
Ga2 0.2500 0.1406 0.5852
N1 0.2500 0.8156 0.5332
N2 0.7500 0.1844 0.4668
Ca1 0.7500 0.8220 0.7632
N3 0.7500 0.4097 0.1195
Ca2 0.2500 0.1780 0.2368
Hf1 0.7500 0.3493 0.8825
N4 0.2500 0.5903 0.8805
N5 0.2500 0.1428 0.8154
Hf2 0.2500 0.6507 0.1175
N6 0.7500 0.8572 0.1846

Values from the calculation:
Space-group type   P2_1/m
Calculated volume   15.06 Å³/atom
D(E_F)   0.000 states/eV/atom



Number 1: E_tot -20.58 eV per cell. Number 2: E_tot -18.93 eV per cell. Number 3: E_tot -58.49 eV per cell. Number 4: E_tot -18.66 eV per cell. Number 5: E_tot -15.86 eV per cell. Number 6: E_tot -27.59 eV per cell. Number 7: E_tot -19.50 eV per cell. Number 8: E_tot -34.12 eV per cell. Number 9: E_tot -23.83 eV per cell. Number 10: E_tot -14.40 eV per cell. Number 11: E_tot -16.30 eV per cell. Number 12: E_tot -91.68 eV per cell.